[1]
First-principles (PBE) data for a geometry-optimized AcPm2Si structure, as listed in Alexandria.

Summary:
- Formation energy from raw total energies: -0.200 eV/atom
- Fermi-level density of states: 1.36 states/eV per atom
- Offset from the most stable computed form: 2.0 kJ/mol of atoms
- Total energy: -19.83 eV/cell
- Symmetry: R-3m (166)

Lattice parameters (Å, degrees): 9.899 9.899 9.899 24.05 24.05 24.05
Positions (direct):
Ac 0.000 0.000 0.000
Pm 0.224 0.224 0.224
Pm 0.776 0.776 0.776
Si 0.500 0.500 0.500


[2]
First-principles (PBE) data for a geometry-optimized Ac12PmSi7 structure, as listed in Alexandria.

Summary:
- Formation energy from raw total energies: -0.279 eV/atom
- Fermi-level density of states: 1.13 states/eV per atom
- Total energy: -97.60 eV/cell
- Symmetry: R-3 (148)

Lattice parameters (Å, degrees): 9.875 9.875 9.875 107.56 107.56 107.56
Positions (direct):
Ac 0.042 0.346 0.121
Ac 0.121 0.042 0.346
Ac 0.191 0.724 0.573
Ac 0.276 0.427 0.809
Ac 0.346 0.121 0.042
Ac 0.427 0.809 0.276
Ac 0.573 0.191 0.724
Ac 0.654 0.879 0.958
Ac 0.724 0.573 0.191
Ac 0.809 0.276 0.427
Ac 0.879 0.958 0.654
Ac 0.958 0.654 0.879
Pm 0.500 0.500 0.500
Si 0.000 0.000 0.000
Si 0.157 0.385 0.464
Si 0.385 0.464 0.157
Si 0.464 0.157 0.385
Si 0.536 0.843 0.615
Si 0.615 0.536 0.843
Si 0.843 0.615 0.536


[3]
First-principles (PBE) data for a geometry-optimized Ac2PmSi structure, as listed in Alexandria.

Summary:
- Formation energy from raw total energies: -0.094 eV/atom
- Fermi-level density of states: 1.54 states/eV per atom
- Offset from the most stable computed form: 3.1 kJ/mol of atoms
- Total energy: -18.77 eV/cell
- Symmetry: P1 (1)

Lattice parameters (Å, degrees): 4.253 5.804 7.294 66.71 73.12 90.00
Positions (direct):
Ac 0.000 0.000 0.000
Ac 0.346 0.348 0.305
Pm 0.673 0.671 0.653
Si 0.673 0.171 0.653